The following is a GGA-PBE calculation of crystalline PrBeAl at its relaxed geometry, from Alexandria via LeMat-Bulk.

Results
* E above lowest polymorph: 0.63 eV/f.u.
* DFT formation energy: 54 meV per atom
* E_tot: -4.0289 eV per atom

a b c (Å): 6.976 6.434 5.677
angles (deg): 90.00 107.98 90.00
Space group Cm (No. 8)
Unique sites:
Pr  0.000  0.243  0.000
Be  0.141  0.164  0.550
Al  0.310  0.500  0.440
Al  0.426  0.000  0.454

***

The following is a GGA-PBE calculation of crystalline In4Sn2Hg5 at its relaxed geometry, from Alexandria via LeMat-Bulk.

Results
* E above lowest polymorph: 0.19 eV/f.u.
* DFT formation energy: 43 meV per atom
* E_tot: -1.8175 eV per atom

a b c (Å): 3.210 10.000 19.522
angles (deg): 90.00 90.00 90.00
Space group Immm (No. 71)
Unique sites:
In  0.000  0.000  0.090
In  0.000  0.269  0.500
Sn  0.000  0.000  0.247
Hg  0.000  0.230  0.340
Hg  0.000  0.500  0.000